1.
6
Lattice="-2.561 3.721 4.737 2.561 -3.721 4.737 2.561 3.721 -4.737" Properties=species:S:1:pos:R:3 comment="RbMgTa GGA-PBE relaxed" volume_a3_per_cell=181 de_polymorph_mev_per_atom=626 formation_energy_ev_per_atom=1.047 dos_ef_per_ev_fu=2.50 magnetic_moment_mub_per_fu=0.00 dft_energy_ev_per_atom=-3.758 pbc="T T T"
Rb 0.000 1.861 1.273
Rb 2.561 1.861 3.464
Mg 2.561 0.000 0.000
Mg 0.000 0.000 4.737
Ta 2.561 -1.861 2.412
Ta 0.000 5.582 2.325

---

2.
6
Lattice="2.875 0.000 0.000 0.000 4.921 0.000 -0.124 0.000 13.389" Properties=species:S:1:pos:R:3 comment="RbMgTa GGA-PBE relaxed" volume_a3_per_cell=189 de_polymorph_mev_per_atom=736 formation_energy_ev_per_atom=1.157 dos_ef_per_ev_fu=2.91 magnetic_moment_mub_per_fu=0.00 dft_energy_ev_per_atom=-3.648 pbc="T T T"
Rb 0.000 0.000 0.000
Rb 1.339 2.461 6.695
Mg 1.246 2.461 10.538
Mg 1.481 2.461 2.851
Ta 0.042 0.000 3.793
Ta 2.684 0.000 9.595

---

3.
6
Lattice="5.520 0.000 0.000 0.000 5.520 0.000 0.000 0.000 7.420" Properties=species:S:1:pos:R:3 comment="RbMgTa GGA-PBE relaxed" volume_a3_per_cell=226 de_polymorph_mev_per_atom=1075 formation_energy_ev_per_atom=1.496 dos_ef_per_ev_fu=1.55 magnetic_moment_mub_per_fu=2.06 dft_energy_ev_per_atom=-3.309 pbc="T T T"
Rb 1.380 1.380 0.643
Rb 4.140 4.140 6.777
Mg 1.380 4.140 3.710
Mg 4.140 1.380 3.710
Ta 1.380 1.380 4.100
Ta 4.140 4.140 3.320

---

4.
6
Lattice="3.097 0.000 0.000 -1.510 6.107 0.000 -0.153 -2.030 11.050" Properties=species:S:1:pos:R:3 comment="RbMgTa GGA-PBE relaxed" volume_a3_per_cell=209 de_polymorph_mev_per_atom=445 formation_energy_ev_per_atom=0.866 dos_ef_per_ev_fu=2.88 magnetic_moment_mub_per_fu=0.00 dft_energy_ev_per_atom=-3.939 pbc="T T T"
Rb 0.000 0.000 0.000
Rb -0.174 3.923 6.700
Mg 1.391 1.131 3.362
Mg 1.239 0.977 9.790
Ta -0.148 3.028 1.534
Ta 1.398 4.370 3.192

---

5.
6
Lattice="4.504 0.000 0.000 0.000 6.768 0.000 2.249 0.896 6.788" Properties=species:S:1:pos:R:3 comment="RbMgTa GGA-PBE relaxed" volume_a3_per_cell=207 de_polymorph_mev_per_atom=517 formation_energy_ev_per_atom=0.938 dos_ef_per_ev_fu=2.29 magnetic_moment_mub_per_fu=0.00 dft_energy_ev_per_atom=-3.867 pbc="T T T"
Rb 1.150 2.115 3.197
Rb 5.603 5.549 3.591
Mg 3.375 3.360 6.328
Mg 3.378 4.304 0.460
Ta 3.375 7.230 6.470
Ta 3.379 0.433 0.318

---

6.
6
Lattice="3.284 0.000 0.000 -1.619 4.699 0.000 -0.895 -1.298 14.248" Properties=species:S:1:pos:R:3 comment="RbMgTa GGA-PBE relaxed" volume_a3_per_cell=220 de_polymorph_mev_per_atom=186 formation_energy_ev_per_atom=0.607 dos_ef_per_ev_fu=2.05 magnetic_moment_mub_per_fu=0.00 dft_energy_ev_per_atom=-4.198 pbc="T T T"
Rb 0.000 0.000 0.000
Rb -0.957 1.133 9.901
Mg 0.343 2.407 2.832
Mg 0.353 3.436 7.074
Ta -1.279 4.220 4.774
Ta 1.974 1.613 5.130

---

7.
12
Lattice="5.186 0.000 0.000 0.000 5.372 0.000 0.000 0.000 14.305" Properties=species:S:1:pos:R:3 comment="RbMgTa GGA-PBE relaxed" volume_a3_per_cell=399 de_polymorph_mev_per_atom=467 formation_energy_ev_per_atom=0.888 dos_ef_per_ev_fu=3.23 magnetic_moment_mub_per_fu=0.65 dft_energy_ev_per_atom=-3.917 pbc="T T T"
Rb 1.291 1.343 0.382
Rb 1.302 4.029 7.534
Rb 3.884 1.343 6.771
Rb 3.895 4.029 13.923
Mg 1.285 1.343 4.181
Mg 1.308 4.029 11.333
Mg 3.878 1.343 2.972
Mg 3.901 4.029 10.124
Ta 0.017 1.343 10.726
Ta 2.576 4.029 3.573
Ta 2.610 1.343 10.732
Ta 5.169 4.029 3.579

---

8.
6
Lattice="3.578 0.000 0.000 0.000 3.579 0.000 0.001 0.246 15.510" Properties=species:S:1:pos:R:3 comment="RbMgTa GGA-PBE relaxed" volume_a3_per_cell=199 de_polymorph_mev_per_atom=0 formation_energy_ev_per_atom=0.421 dos_ef_per_ev_fu=2.22 magnetic_moment_mub_per_fu=0.00 dft_energy_ev_per_atom=-4.384 pbc="T T T"
Rb 0.000 0.000 0.000
Rb 1.784 2.044 4.494
Mg 1.784 2.030 12.364
Mg 3.573 0.248 7.642
Ta 1.785 2.034 9.425
Ta 3.573 0.246 10.580